Compound: MnSeO4
Source: Alexandria
Functional: GGA+U
Structure: optimized geometry

Unit cell a=9.0178 b=5.5294 c=6.4775 alpha=90.00 beta=91.82 gamma=90.00
With the nearest neighbours (Å) after each atom.
Space group C2/c (No. 15)
Inequivalent atoms, fractional coordinates:
Mn1 0.2500 0.2500 0.0000 [4 per cell]  4 O 1.95-1.98
Se1 0.0000 0.0503 0.2500 [4 per cell]  4 O 1.75-1.89
O1 0.0349 0.2539 0.0500 [8 per cell]  1 Se 1.75
O2 0.2056 0.0008 0.2964 [8 per cell]  1 Se 1.89, 1 Mn 1.95

Results
The volume comes out at 323 Å³ per cell. The calculation puts the magnetic moment at 3.0 μB/f.u. As for the total DFT energy (no corrections): -5.999 eV/atom.